# 1
Computed, not measured: a geometry-optimized Hg8Br structure at the PBE-GGA level of DFT.

Summary:
Space group: I4/mmm, No. 139
Energy in eV/atom: -0.500
Spin magnetization in μB per formula unit: 0.0
D(E_F) in states/eV per atom: 0.159

a b c (Å): 8.706 8.706 8.706
angles (deg): 151.27 93.53 93.53
Fractional coordinates of all 9 atoms:
Hg 0.000 0.817 0.183
Hg 0.000 0.183 0.817
Hg 0.643 0.000 0.643
Hg 0.366 0.183 0.183
Hg 0.643 0.643 0.000
Hg 0.634 0.817 0.817
Hg 0.357 0.000 0.357
Hg 0.357 0.357 0.000
Br 0.000 0.000 0.000

# 2
Computed, not measured: a geometry-optimized Hg2Br structure at the PBE-GGA level of DFT.

Summary:
Space group: Cmcm, No. 63
Energy in eV/atom: -0.929
Spin magnetization in μB per formula unit: 0.0
D(E_F) in states/eV per atom: 0.234

a b c (Å): 11.494 11.494 3.935
angles (deg): 90.00 90.00 159.58
Fractional coordinates of all 6 atoms:
Hg 0.453 0.547 0.750
Hg 0.547 0.453 0.250
Hg 0.773 0.227 0.750
Hg 0.227 0.773 0.250
Br 0.113 0.887 0.750
Br 0.887 0.113 0.250

# 3
Computed, not measured: a geometry-optimized HoHgBr6 structure at the PBE-GGA level of DFT.

Summary:
Space group: P-1, No. 2
Energy in eV/atom: -2.811
Spin magnetization in μB per formula unit: 1.0
D(E_F) in states/eV per atom: 0.078

a b c (Å): 7.346 8.253 7.126
angles (deg): 60.83 60.33 53.70
Fractional coordinates of all 8 atoms:
Ho 0.500 0.500 0.500
Hg 0.000 0.000 0.000
Br 0.091 0.453 0.785
Br 0.764 0.091 0.764
Br 0.542 0.270 0.295
Br 0.236 0.909 0.236
Br 0.909 0.547 0.215
Br 0.458 0.730 0.705

# 4
Computed, not measured: a geometry-optimized NaHoHgBr6 structure at the PBE-GGA level of DFT.

Summary:
Space group: P-31c, No. 163
Energy in eV/atom: -3.100
Spin magnetization in μB per formula unit: 0.0
D(E_F) in states/eV per atom: 0.000

a b c (Å): 7.178 7.178 13.530
angles (deg): 90.00 90.00 120.00
Fractional coordinates of all 18 atoms:
Na 0.000 0.000 0.000
Na 0.000 0.000 0.500
Ho 0.333 0.667 0.250
Ho 0.667 0.333 0.750
Hg 0.667 0.333 0.250
Hg 0.333 0.667 0.750
Br 0.643 0.649 0.130
Br 0.007 0.357 0.130
Br 0.357 0.007 0.630
Br 0.993 0.643 0.870
Br 0.351 0.357 0.370
Br 0.007 0.649 0.370
Br 0.649 0.007 0.870
Br 0.643 0.993 0.370
Br 0.993 0.351 0.630
Br 0.351 0.993 0.130
Br 0.649 0.643 0.630
Br 0.357 0.351 0.870

# 5
Computed, not measured: a geometry-optimized HoHgPbBr6 structure at the PBE-GGA level of DFT.

Summary:
Space group: P312, No. 149
Energy in eV/atom: -3.201
Spin magnetization in μB per formula unit: 0.0
D(E_F) in states/eV per atom: 0.546

a b c (Å): 7.513 7.512 6.789
angles (deg): 89.98 89.98 60.01
Fractional coordinates of all 9 atoms:
Ho 0.333 0.333 0.500
Hg 0.000 0.000 0.000
Pb 0.667 0.667 0.500
Br 0.024 0.341 0.261
Br 0.341 0.024 0.739
Br 0.635 0.341 0.739
Br 0.024 0.635 0.739
Br 0.341 0.635 0.262
Br 0.635 0.024 0.261

# 6
Computed, not measured: a geometry-optimized Rb2HoHgBr6 structure at the PBE-GGA level of DFT.

Summary:
Space group: Pmmn, No. 59
Energy in eV/atom: -3.134
Spin magnetization in μB per formula unit: 0.0
D(E_F) in states/eV per atom: 0.452

a b c (Å): 8.034 8.606 11.646
angles (deg): 90.00 90.00 90.00
Fractional coordinates of all 20 atoms:
Rb 0.500 0.800 0.217
Rb 0.000 0.200 0.717
Rb 0.500 0.800 0.783
Rb 0.000 0.200 0.283
Ho 0.500 0.224 0.500
Ho 0.000 0.776 0.000
Hg 0.000 0.715 0.500
Hg 0.500 0.285 0.000
Br 0.500 0.216 0.261
Br 0.500 0.216 0.739
Br 0.000 0.784 0.239
Br 0.000 0.784 0.761
Br 0.259 0.989 0.500
Br 0.741 0.989 0.500
Br 0.245 0.441 0.500
Br 0.755 0.441 0.500
Br 0.745 0.559 0.000
Br 0.255 0.559 0.000
Br 0.241 0.011 0.000
Br 0.759 0.011 0.000

# 7
Computed, not measured: a geometry-optimized HoSnHgBr6 structure at the PBE-GGA level of DFT.

Summary:
Space group: P312, No. 149
Energy in eV/atom: -3.186
Spin magnetization in μB per formula unit: 0.0
D(E_F) in states/eV per atom: 0.718

a b c (Å): 7.221 7.221 8.770
angles (deg): 90.00 90.00 60.00
Fractional coordinates of all 9 atoms:
Ho 0.333 0.333 0.500
Sn 0.667 0.667 0.500
Hg 0.000 0.000 0.000
Br 0.003 0.361 0.315
Br 0.361 0.003 0.685
Br 0.636 0.361 0.685
Br 0.003 0.636 0.685
Br 0.361 0.636 0.315
Br 0.636 0.003 0.315

# 8
Computed, not measured: a geometry-optimized HoTlHgBr6 structure at the PBE-GGA level of DFT.

Summary:
Space group: P-31c, No. 163
Energy in eV/atom: -3.080
Spin magnetization in μB per formula unit: 0.0
D(E_F) in states/eV per atom: 0.000

a b c (Å): 7.330 7.330 14.577
angles (deg): 90.00 90.00 120.00
Fractional coordinates of all 18 atoms:
Ho 0.667 0.333 0.250
Ho 0.333 0.667 0.750
Tl 0.000 0.000 0.000
Tl 0.000 0.000 0.500
Hg 0.333 0.667 0.250
Hg 0.667 0.333 0.750
Br 0.632 0.626 0.138
Br 0.994 0.368 0.138
Br 0.368 0.994 0.638
Br 0.006 0.632 0.862
Br 0.374 0.368 0.362
Br 0.994 0.626 0.362
Br 0.626 0.994 0.862
Br 0.632 0.006 0.362
Br 0.006 0.374 0.638
Br 0.374 0.006 0.138
Br 0.626 0.632 0.638
Br 0.368 0.374 0.862

# 9
Computed, not measured: a geometry-optimized HgIBr structure at the PBE-GGA level of DFT.

Summary:
Space group: P2/m, No. 10
Energy in eV/atom: -1.535
Spin magnetization in μB per formula unit: 0.0
D(E_F) in states/eV per atom: 0.000

a b c (Å): 7.121 4.974 7.267
angles (deg): 90.00 96.17 90.00
Fractional coordinates of all 6 atoms:
I 0.241 0.000 0.238
I 0.759 0.000 0.762
Hg 0.500 0.500 0.500
Hg 0.500 0.000 0.000
Br 0.268 0.500 0.736
Br 0.732 0.500 0.264

# 10
Computed, not measured: a geometry-optimized Hg2IBr structure at the PBE-GGA level of DFT.

Summary:
Space group: Fm-3m, No. 225
Energy in eV/atom: -0.967
Spin magnetization in μB per formula unit: 0.0
D(E_F) in states/eV per atom: 0.510

a b c (Å): 5.495 5.495 5.495
angles (deg): 60.00 60.00 60.00
Fractional coordinates of all 4 atoms:
I 0.500 0.500 0.500
Hg 0.250 0.250 0.250
Hg 0.750 0.750 0.750
Br 0.000 0.000 0.000

# 11
Computed, not measured: a geometry-optimized Hg2IBr6 structure at the PBE-GGA level of DFT.

Summary:
Space group: C2/c, No. 15
Energy in eV/atom: -1.620
Spin magnetization in μB per formula unit: 0.0
D(E_F) in states/eV per atom: 0.106

a b c (Å): 8.763 11.762 11.762
angles (deg): 74.18 122.96 122.96
Fractional coordinates of all 18 atoms:
Hg 0.329 0.470 0.281
Hg 0.171 0.719 0.530
Hg 0.671 0.530 0.719
Hg 0.829 0.281 0.470
I 0.250 0.972 0.028
I 0.750 0.028 0.972
Br 0.255 0.308 0.453
Br 0.245 0.547 0.692
Br 0.745 0.692 0.547
Br 0.755 0.453 0.308
Br 0.861 0.098 0.622
Br 0.639 0.378 0.902
Br 0.139 0.902 0.378
Br 0.361 0.622 0.098
Br 0.162 0.171 0.107
Br 0.338 0.893 0.829
Br 0.838 0.829 0.893
Br 0.662 0.107 0.171

# 12
Computed, not measured: a geometry-optimized HgIBr structure at the PBE-GGA level of DFT.

Summary:
Space group: Cmc2_1, No. 36
Energy in eV/atom: -1.535
Spin magnetization in μB per formula unit: 0.0
D(E_F) in states/eV per atom: 0.000

a b c (Å): 4.450 4.450 13.687
angles (deg): 90.00 90.00 109.89
Fractional coordinates of all 6 atoms:
Br 0.416 0.584 0.878
Br 0.584 0.416 0.378
Hg 0.835 0.165 0.502
Hg 0.165 0.835 0.002
I 0.106 0.894 0.632
I 0.894 0.106 0.132

# 13
Computed, not measured: a geometry-optimized HgIBr structure at the PBE-GGA level of DFT.

Summary:
Space group: P-1, No. 2
Energy in eV/atom: -1.536
Spin magnetization in μB per formula unit: 0.0
D(E_F) in states/eV per atom: 0.000

a b c (Å): 4.418 7.379 8.398
angles (deg): 102.25 99.38 92.98
Fractional coordinates of all 6 atoms:
I 0.127 0.740 0.824
I 0.873 0.260 0.176
Hg 0.724 0.969 0.731
Hg 0.276 0.031 0.269
Br 0.592 0.776 0.339
Br 0.408 0.224 0.661

# 14
Computed, not measured: a geometry-optimized Hg5I2Br2 structure at the PBE-GGA level of DFT.

Summary:
Space group: Ima2, No. 46
Energy in eV/atom: -1.077
Spin magnetization in μB per formula unit: 0.0
D(E_F) in states/eV per atom: 0.081

a b c (Å): 10.309 7.274 11.161
angles (deg): 109.02 117.51 90.00
Fractional coordinates of all 18 atoms:
Hg 0.911 0.793 0.231
Hg 0.089 0.562 0.769
Hg 0.821 0.293 0.231
Hg 0.179 0.062 0.769
Hg 0.789 0.699 0.771
Hg 0.211 0.928 0.229
Hg 0.482 0.199 0.771
Hg 0.518 0.428 0.229
Hg 0.909 0.150 0.500
Hg 0.091 0.650 0.500
I 0.000 0.044 0.000
I 0.500 0.544 0.000
I 0.292 0.244 0.500
I 0.708 0.744 0.500
Br 0.758 0.355 0.794
Br 0.242 0.561 0.206
Br 0.536 0.855 0.794
Br 0.464 0.061 0.206

# 15
Computed, not measured: a geometry-optimized Hg2IBr structure at the PBE-GGA level of DFT.

Summary:
Space group: I-42d, No. 122
Energy in eV/atom: -0.998
Spin magnetization in μB per formula unit: 0.0
D(E_F) in states/eV per atom: 1.094

a b c (Å): 7.230 7.230 8.515
angles (deg): 64.88 64.88 90.00
Fractional coordinates of all 8 atoms:
I 0.000 0.000 0.000
I 0.750 0.250 0.500
Hg 0.608 0.125 0.250
Hg 0.142 0.625 0.250
Hg 0.375 0.392 0.750
Hg 0.875 0.858 0.750
Br 0.500 0.500 0.000
Br 0.250 0.750 0.500

# 16
Computed, not measured: a geometry-optimized HgIBr structure at the PBE-GGA level of DFT.

Summary:
Space group: P-1, No. 2
Energy in eV/atom: -1.533
Spin magnetization in μB per formula unit: 0.0
D(E_F) in states/eV per atom: 0.000

a b c (Å): 4.395 8.082 8.467
angles (deg): 64.41 80.08 88.43
Fractional coordinates of all 6 atoms:
I 0.384 0.748 0.472
I 0.616 0.252 0.528
Hg 0.000 0.000 0.500
Hg 0.500 0.000 0.000
Br 0.876 0.779 0.959
Br 0.124 0.221 0.041

# 17
Computed, not measured: a geometry-optimized Hg3IBr structure at the PBE-GGA level of DFT.

Summary:
Space group: Pm-3m, No. 221
Energy in eV/atom: -0.675
Spin magnetization in μB per formula unit: 0.0
D(E_F) in states/eV per atom: 0.405

a b c (Å): 6.029 6.029 6.029
angles (deg): 90.00 90.00 90.00
Fractional coordinates of all 5 atoms:
I 0.000 0.000 0.000
Hg 0.000 0.500 0.000
Hg 0.000 0.000 0.500
Hg 0.500 0.000 0.000
Br 0.500 0.500 0.500

# 18
Computed, not measured: a geometry-optimized HgI2Br structure at the PBE-GGA level of DFT.

Summary:
Space group: I-42d, No. 122
Energy in eV/atom: -1.232
Spin magnetization in μB per formula unit: 1.0
D(E_F) in states/eV per atom: 1.151

a b c (Å): 8.412 8.412 7.465
angles (deg): 55.71 55.71 90.00
Fractional coordinates of all 8 atoms:
I 0.680 0.125 0.250
I 0.070 0.625 0.250
I 0.375 0.320 0.750
I 0.875 0.930 0.750
Hg 0.000 0.000 0.000
Hg 0.750 0.250 0.500
Br 0.500 0.500 0.000
Br 0.250 0.750 0.500

# 19
Computed, not measured: a geometry-optimized Hg2IBr3 structure at the PBE-GGA level of DFT.

Summary:
Space group: C2/m, No. 12
Energy in eV/atom: -1.599
Spin magnetization in μB per formula unit: 0.0
D(E_F) in states/eV per atom: 0.000

a b c (Å): 8.591 8.591 14.959
angles (deg): 55.57 55.57 33.41
Fractional coordinates of all 12 atoms:
Hg 0.127 0.127 0.123
Hg 0.873 0.873 0.877
Hg 0.377 0.377 0.376
Hg 0.623 0.623 0.624
I 0.562 0.562 0.322
I 0.438 0.438 0.678
Br 0.950 0.950 0.184
Br 0.050 0.050 0.816
Br 0.306 0.306 0.060
Br 0.694 0.694 0.940
Br 0.202 0.202 0.429
Br 0.798 0.798 0.571

# 20
Computed, not measured: a geometry-optimized HgIBr5 structure at the PBE-GGA level of DFT.

Summary:
Space group: C2/c, No. 15
Energy in eV/atom: -1.501
Spin magnetization in μB per formula unit: 0.0
D(E_F) in states/eV per atom: 0.667

a b c (Å): 8.081 8.081 9.966
angles (deg): 73.30 73.30 79.83
Fractional coordinates of all 14 atoms:
Hg 0.000 0.000 0.000
Hg 0.000 0.000 0.500
I 0.479 0.521 0.250
I 0.521 0.479 0.750
Br 0.260 0.769 0.041
Br 0.288 0.267 0.292
Br 0.877 0.123 0.250
Br 0.231 0.740 0.459
Br 0.769 0.260 0.541
Br 0.733 0.712 0.208
Br 0.267 0.288 0.792
Br 0.123 0.877 0.750
Br 0.712 0.733 0.708
Br 0.740 0.231 0.959

# 21
Computed, not measured: a geometry-optimized Hg2IBr3 structure at the PBE-GGA level of DFT.

Summary:
Space group: Cm, No. 8
Energy in eV/atom: -1.597
Spin magnetization in μB per formula unit: 0.0
D(E_F) in states/eV per atom: 0.000

a b c (Å): 4.380 4.380 13.485
angles (deg): 89.91 89.91 70.59
Fractional coordinates of all 6 atoms:
Hg 0.842 0.842 0.440
Hg 0.161 0.161 0.930
I 0.569 0.569 0.307
Br 0.427 0.427 0.811
Br 0.102 0.102 0.564
Br 0.899 0.899 0.051